(1)
Li2MgRe: relaxed, PBE-GGA.

Cell lengths 2.689, 2.689, 9.616 Å; angles 90.00, 90.00, 106.86 degrees
Fractional coordinates of all 4 atoms:
1 Li 0.000 0.000 0.000
2 Li 0.500 0.500 0.269
3 Mg 0.500 0.500 0.734
4 Re 0.000 0.000 0.498

uncorrected energy: -17.075 eV per formula unit
space-group type: Cmm2 (35)
formation energy: 198.8 meV per atom
offset from the most stable computed form: 0.0 meV/atom

---

(2)
Ca2ScCdH: relaxed, PBE-GGA.

Cell lengths 5.184, 5.184, 4.281 Å; angles 90.00, 90.00, 90.00 degrees
Fractional coordinates of all 5 atoms:
1 Ca 0.000 0.500 0.000
2 Ca 0.500 0.000 0.000
3 Sc 0.000 0.000 0.500
4 Cd 0.500 0.500 0.500
5 H 0.000 0.000 0.000

uncorrected energy: -15.415 eV per formula unit
space-group type: P4/mmm (123)
offset from the most stable computed form: 0.0 meV/atom

---

(3)
NbCu2Pt8: relaxed, PBE-GGA.

Cell lengths 6.698, 6.698, 4.029 Å; angles 90.00, 90.00, 105.60 degrees
Fractional coordinates of all 11 atoms:
1 Nb 0.000 0.000 0.000
2 Cu 0.386 0.614 0.500
3 Cu 0.614 0.386 0.500
4 Pt 0.044 0.308 0.500
5 Pt 0.251 0.749 0.000
6 Pt 0.308 0.044 0.500
7 Pt 0.333 0.333 0.000
8 Pt 0.667 0.667 0.000
9 Pt 0.692 0.956 0.500
10 Pt 0.749 0.251 0.000
11 Pt 0.956 0.692 0.500

uncorrected energy: -68.688 eV per formula unit
space-group type: Cmmm (65)
formation energy: -190.8 meV per atom

---

(4)
U2VSe6: relaxed, PBE-GGA.

Cell lengths 8.958, 8.958, 8.145 Å; angles 107.01, 107.01, 25.68 degrees
Fractional coordinates of all 9 atoms:
1 U 0.158 0.158 0.314
2 U 0.842 0.842 0.686
3 V 0.500 0.500 0.000
4 Se 0.003 0.003 0.790
5 Se 0.328 0.328 0.434
6 Se 0.346 0.346 0.926
7 Se 0.654 0.654 0.074
8 Se 0.672 0.672 0.566
9 Se 0.997 0.997 0.210

uncorrected energy: -61.255 eV per formula unit
space-group type: C2/m (12)
formation energy (no corrections): -0.961 eV/atom

---

(5)
Ac8Ir3SBr3: relaxed, PBE-GGA.

Cell lengths 9.370, 9.370, 9.370 Å; angles 56.70, 56.70, 56.70 degrees
Fractional coordinates of all 15 atoms:
1 Ac 0.216 0.745 0.745
2 Ac 0.233 0.233 0.233
3 Ac 0.255 0.255 0.784
4 Ac 0.255 0.784 0.255
5 Ac 0.745 0.216 0.745
6 Ac 0.745 0.745 0.216
7 Ac 0.767 0.767 0.767
8 Ac 0.784 0.255 0.255
9 Ir 0.000 0.000 0.500
10 Ir 0.000 0.500 0.000
11 Ir 0.500 0.000 0.000
12 S 0.500 0.500 0.500
13 Br 0.000 0.500 0.500
14 Br 0.500 0.000 0.500
15 Br 0.500 0.500 0.000

uncorrected energy: -85.681 eV per formula unit
space-group type: R-3m (166)
formation energy (no corrections): -1.139 eV/atom

---

(6)
MnPd2S2: relaxed, PBE-GGA.

Cell lengths 5.752, 5.752, 4.654 Å; angles 90.00, 90.00, 90.00 degrees
Fractional coordinates of all 10 atoms:
1 Mn 0.000 0.000 0.000
2 Mn 0.500 0.500 0.000
3 Pd 0.178 0.322 0.500
4 Pd 0.322 0.822 0.500
5 Pd 0.678 0.178 0.500
6 Pd 0.822 0.678 0.500
7 S 0.145 0.355 0.000
8 S 0.355 0.855 0.000
9 S 0.645 0.145 0.000
10 S 0.855 0.645 0.000

uncorrected energy: -28.823 eV per formula unit
space-group type: P4/mbm (127)
formation energy (no corrections): -0.202 eV/atom

---

Q: Which of these has the lowest uncorrected energy?
A: Ac8Ir3SBr3